# ZrSc3Si | Alexandria | PBE-GGA | optimized geometry
# - ΔE_f (raw): 174 meV/atom
# - DOS(E_F): 1.78 states/eV per atom
# - ΔE to the lowest computed polymorph: 0 meV/atom
data_ZrSc3Si
_space_group_name_H-M_alt 'P m -3 m'
_space_group_IT_number 221
_space_group_name_Hall '-P 4 2 3'
_cell_length_a 5.026
_cell_length_b 5.026
_cell_length_c 5.026
_cell_angle_alpha 90.00
_cell_angle_beta 90.00
_cell_angle_gamma 90.00
loop_
_atom_site_label
_atom_site_type_symbol
_atom_site_fract_x
_atom_site_fract_y
_atom_site_fract_z
Zr1 Zr 0.000 0.000 0.000
Sc1 Sc 0.000 0.500 0.500
Si1 Si 0.500 0.500 0.500

---

# Zr2ScSi | Alexandria | PBE-GGA | optimized geometry
# - ΔE_f (raw): -228 meV/atom
# - DOS(E_F): 1.27 states/eV per atom
data_Zr2ScSi
_space_group_name_H-M_alt 'P 4/m m m'
_space_group_IT_number 123
_space_group_name_Hall '-P 4 2'
_cell_length_a 3.101
_cell_length_b 3.101
_cell_length_c 8.670
_cell_angle_alpha 90.00
_cell_angle_beta 90.00
_cell_angle_gamma 90.00
loop_
_atom_site_label
_atom_site_type_symbol
_atom_site_fract_x
_atom_site_fract_y
_atom_site_fract_z
Zr1 Zr 0.000 0.000 0.212
Sc1 Sc 0.500 0.500 0.500
Si1 Si 0.500 0.500 0.000

---

# Zr2ScSi | Alexandria | PBE-GGA | optimized geometry
# - ΔE_f (raw): -145 meV/atom
# - DOS(E_F): 0.80 states/eV per atom
data_Zr2ScSi
_space_group_name_H-M_alt 'R 3 m'
_space_group_IT_number 160
_space_group_name_Hall 'R 3 -2"'
_cell_length_a 3.2367
_cell_length_b 3.2367
_cell_length_c 28.2350
_cell_angle_alpha 90.00
_cell_angle_beta 90.00
_cell_angle_gamma 120.00
loop_
_atom_site_label
_atom_site_type_symbol
_atom_site_fract_x
_atom_site_fract_y
_atom_site_fract_z
Zr1 Zr 0.0000 0.0000 0.0000
Zr2 Zr 0.0000 0.0000 0.2420
Sc1 Sc 0.0000 0.0000 0.7607
Si1 Si 0.0000 0.0000 0.5009

---

# Zr2ScSi | Alexandria | PBE-GGA | optimized geometry
# - ΔE_f (raw): -344 meV/atom
# - DOS(E_F): 0.96 states/eV per atom
data_Zr2ScSi
_space_group_name_H-M_alt 'I 4/m m m'
_space_group_IT_number 139
_space_group_name_Hall '-I 4 2'
_cell_length_a 4.209
_cell_length_b 4.209
_cell_length_c 9.094
_cell_angle_alpha 90.00
_cell_angle_beta 90.00
_cell_angle_gamma 90.00
loop_
_atom_site_label
_atom_site_type_symbol
_atom_site_fract_x
_atom_site_fract_y
_atom_site_fract_z
Zr1 Zr 0.000 0.500 0.250
Sc1 Sc 0.000 0.000 0.000
Si1 Si 0.000 0.000 0.500

---

# Zr2ScSi | Alexandria | PBE-GGA | optimized geometry
# - ΔE_f (raw): -164 meV/atom
# - DOS(E_F): 0.82 states/eV per atom
data_Zr2ScSi
_space_group_name_H-M_alt 'F -4 3 m'
_space_group_IT_number 216
_space_group_name_Hall 'F -4 2 3'
_cell_length_a 6.823
_cell_length_b 6.823
_cell_length_c 6.823
_cell_angle_alpha 90.00
_cell_angle_beta 90.00
_cell_angle_gamma 90.00
loop_
_atom_site_label
_atom_site_type_symbol
_atom_site_fract_x
_atom_site_fract_y
_atom_site_fract_z
Zr1 Zr 0.000 0.000 0.000
Zr2 Zr 0.250 0.250 0.250
Sc1 Sc 0.250 0.250 0.750
Si1 Si 0.000 0.000 0.500

---

# Zr2ScSi | Alexandria | PBE-GGA | optimized geometry
# - ΔE_f (raw): -233 meV/atom
# - DOS(E_F): 1.07 states/eV per atom
data_Zr2ScSi
_space_group_name_H-M_alt 'C 1 2/m 1'
_space_group_IT_number 12
_cell_length_a 6.019
_cell_length_b 8.558
_cell_length_c 3.131
_cell_angle_alpha 90.00
_cell_angle_beta 90.18
_cell_angle_gamma 90.00
loop_
_space_group_symop_operation_xyz
'x,y,z'
'-x,-y,-z'
'-x,y,-z'
'x,-y,z'
'x+1/2,y+1/2,z'
'-x+1/2,-y+1/2,-z'
'-x+1/2,y+1/2,-z'
'x+1/2,-y+1/2,z'
loop_
_atom_site_label
_atom_site_type_symbol
_atom_site_fract_x
_atom_site_fract_y
_atom_site_fract_z
Zr1 Zr 0.250 0.250 0.000
Sc1 Sc 0.000 0.000 0.500
Si1 Si 0.000 0.500 0.500

---

# Zr2ScSi | Alexandria | PBE-GGA | optimized geometry
# - ΔE_f (raw): -286 meV/atom
# - DOS(E_F): 0.81 states/eV per atom
data_Zr2ScSi
_space_group_name_H-M_alt 'C 1 m 1'
_space_group_IT_number 8
_cell_length_a 10.721
_cell_length_b 3.294
_cell_length_c 5.180
_cell_angle_alpha 90.00
_cell_angle_beta 116.32
_cell_angle_gamma 90.00
loop_
_space_group_symop_operation_xyz
'x,y,z'
'x,-y,z'
'x+1/2,y+1/2,z'
'x+1/2,-y+1/2,z'
loop_
_atom_site_label
_atom_site_type_symbol
_atom_site_fract_x
_atom_site_fract_y
_atom_site_fract_z
Zr1 Zr 0.000 0.000 0.000
Zr2 Zr 0.228 0.000 0.834
Sc1 Sc 0.278 0.500 0.381
Si1 Si 0.010 0.500 0.453

---

# Zr2ScSi | Alexandria | PBE-GGA | optimized geometry
# - ΔE_f (raw): -325 meV/atom
# - DOS(E_F): 0.94 states/eV per atom
data_Zr2ScSi
_space_group_name_H-M_alt 'I -4 m 2'
_space_group_IT_number 119
_space_group_name_Hall 'I -4 -2'
_cell_length_a 4.164
_cell_length_b 4.164
_cell_length_c 9.248
_cell_angle_alpha 90.00
_cell_angle_beta 90.00
_cell_angle_gamma 90.00
loop_
_atom_site_label
_atom_site_type_symbol
_atom_site_fract_x
_atom_site_fract_y
_atom_site_fract_z
Zr1 Zr 0.000 0.000 0.000
Zr2 Zr 0.000 0.500 0.250
Sc1 Sc 0.000 0.000 0.500
Si1 Si 0.000 0.500 0.750

---

# Zr4ScSi | Alexandria | PBE-GGA | optimized geometry
# - ΔE_f (raw): 333 meV/atom
# - DOS(E_F): 1.58 states/eV per atom
data_Zr4ScSi
_space_group_name_H-M_alt 'F -4 3 m'
_space_group_IT_number 216
_space_group_name_Hall 'F -4 2 3'
_cell_length_a 8.136
_cell_length_b 8.136
_cell_length_c 8.136
_cell_angle_alpha 90.00
_cell_angle_beta 90.00
_cell_angle_gamma 90.00
loop_
_atom_site_label
_atom_site_type_symbol
_atom_site_fract_x
_atom_site_fract_y
_atom_site_fract_z
Zr1 Zr 0.123 0.123 0.123
Sc1 Sc 0.250 0.250 0.750
Si1 Si 0.000 0.000 0.500

---

# Zr2ScSi | Alexandria | PBE-GGA | optimized geometry
# - ΔE_f (raw): -95 meV/atom
# - DOS(E_F): 1.44 states/eV per atom
data_Zr2ScSi
_space_group_name_H-M_alt 'R -3 m'
_space_group_IT_number 166
_space_group_name_Hall '-R 3 2"'
_cell_length_a 3.1933
_cell_length_b 3.1933
_cell_length_c 28.9134
_cell_angle_alpha 90.00
_cell_angle_beta 90.00
_cell_angle_gamma 120.00
loop_
_atom_site_label
_atom_site_type_symbol
_atom_site_fract_x
_atom_site_fract_y
_atom_site_fract_z
Zr1 Zr 0.0000 0.0000 0.2417
Sc1 Sc 0.0000 0.0000 0.0000
Si1 Si 0.0000 0.0000 0.5000

---

# Zr2ScSi | Alexandria | PBE-GGA | optimized geometry
# - ΔE_f (raw): -317 meV/atom
# - DOS(E_F): 0.90 states/eV per atom
data_Zr2ScSi
_space_group_name_H-M_alt 'A m m 2'
_space_group_IT_number 38
_cell_length_a 4.232
_cell_length_b 3.624
_cell_length_c 10.800
_cell_angle_alpha 90.00
_cell_angle_beta 90.00
_cell_angle_gamma 90.00
loop_
_space_group_symop_operation_xyz
'x,y,z'
'-x,-y,z'
'-x,y,z'
'x,-y,z'
'x,y+1/2,z+1/2'
'-x,-y+1/2,z+1/2'
'-x,y+1/2,z+1/2'
'x,-y+1/2,z+1/2'
loop_
_atom_site_label
_atom_site_type_symbol
_atom_site_fract_x
_atom_site_fract_y
_atom_site_fract_z
Zr1 Zr 0.000 0.000 0.000
Zr2 Zr 0.500 0.000 0.306
Sc1 Sc 0.500 0.000 0.582
Si1 Si 0.000 0.000 0.732

---

# Zr2ScSi | Alexandria | PBE-GGA | optimized geometry
# - ΔE_f (raw): -48 meV/atom
# - DOS(E_F): 1.19 states/eV per atom
data_Zr2ScSi
_space_group_name_H-M_alt 'I -4 2 d'
_space_group_IT_number 122
_space_group_name_Hall 'I -4 2bw'
_cell_length_a 7.905
_cell_length_b 7.905
_cell_length_c 5.569
_cell_angle_alpha 90.00
_cell_angle_beta 90.00
_cell_angle_gamma 90.00
loop_
_atom_site_label
_atom_site_type_symbol
_atom_site_fract_x
_atom_site_fract_y
_atom_site_fract_z
Zr1 Zr 0.209 0.250 0.125
Sc1 Sc 0.000 0.000 0.500
Si1 Si 0.000 0.000 0.000